This record from Alexandria via LeMat-Bulk describes a relaxed HfAuBr2 crystal. The functional is GGA-PBE.

- calculated total energy (eV per cell) = -16.5
- size of the total moment (μB/cell) = 0.0
- ΔE to the lowest computed polymorph (eV per atom) = 0.4662

Cell lengths 12.4884, 12.4884, 12.4884 Å; angles 15.78, 15.78, 15.78 degrees
Last column: nearest neighbours and their distance in Å.
Positions (direct):
Hf: 0.0000 0.0000 0.0000  2 Br 2.46
Au: 0.5000 0.5000 0.5000  6 Au 3.43
Br: 0.0664 0.0664 0.0664  1 Hf 2.46
Br: 0.9336 0.9336 0.9336  1 Hf 2.46

---

This record from Alexandria via LeMat-Bulk describes a relaxed HfAu2Br6 crystal. The functional is GGA-PBE.

- calculated total energy (eV per cell) = -67.8
- size of the total moment (μB/cell) = 0.0

Cell lengths 10.5804, 10.5804, 6.5131 Å; angles 94.66, 94.66, 93.91 degrees
Last column: nearest neighbours and their distance in Å.
Positions (direct):
Hf: 0.0829 0.9171 0.7500  4 Br 2.48-2.64
Hf: 0.9171 0.0829 0.2500  4 Br 2.48-2.64
Au: 0.3920 0.3926 0.7106  2 Br 2.46
Au: 0.3926 0.3920 0.2106  2 Br 2.46
Au: 0.6074 0.6080 0.7894  2 Br 2.46
Au: 0.6080 0.6074 0.2894  2 Br 2.46
Br: 0.0488 0.1583 0.6054  2 Hf 2.64-2.83
Br: 0.0748 0.7008 0.8700  1 Hf 2.48
Br: 0.1583 0.0488 0.1054  2 Hf 2.64-2.83
Br: 0.2648 0.5029 0.4574  2 Au 2.46
Br: 0.2992 0.9252 0.6300  1 Hf 2.48
Br: 0.4971 0.7352 0.0426  2 Au 2.46
Br: 0.5029 0.2648 0.9574  2 Au 2.46
Br: 0.7008 0.0748 0.3700  1 Hf 2.48
Br: 0.7352 0.4971 0.5426  2 Au 2.46
Br: 0.8417 0.9512 0.8946  2 Hf 2.64-2.83
Br: 0.9252 0.2992 0.1300  1 Hf 2.48
Br: 0.9512 0.8417 0.3946  2 Hf 2.64-2.83

---

This record from Alexandria via LeMat-Bulk describes a relaxed HfAuBr2 crystal. The functional is GGA-PBE.

- calculated total energy (eV per cell) = -18.4
- size of the total moment (μB/cell) = 0.0
- ΔE to the lowest computed polymorph (eV per atom) = 0.0000

Cell lengths 11.0329, 11.0329, 11.0329 Å; angles 17.20, 17.20, 17.20 degrees
Last column: nearest neighbours and their distance in Å.
Positions (direct):
Hf: 0.0000 0.0000 0.0000  6 Br 2.73
Au: 0.5000 0.5000 0.5000  6 Au 3.30, 2 Br 3.48
Br: 0.3933 0.3933 0.3933  3 Hf 2.73
Br: 0.6067 0.6067 0.6067  3 Hf 2.73

---

This record from Alexandria via LeMat-Bulk describes a relaxed HfAu2Br crystal. The functional is GGA-PBE.

- calculated total energy (eV per cell) = -37.5
- size of the total moment (μB/cell) = 0.0
- ΔE to the lowest computed polymorph (eV per atom) = 0.0000

Cell lengths 6.3899, 6.3899, 6.3899 Å; angles 100.45, 100.45, 129.60 degrees
Last column: nearest neighbours and their distance in Å.
Positions (direct):
Hf: 0.0000 0.0000 0.0000  2 Br 2.72, 4 Au 2.77
Hf: 0.7500 0.2500 0.5000  2 Br 2.72, 4 Au 2.77
Au: 0.0886 0.1250 0.4636  2 Hf 2.77, 2 Au 2.79
Au: 0.3750 0.9114 0.0364  2 Hf 2.77, 2 Au 2.79
Au: 0.6614 0.6250 0.5364  2 Hf 2.77, 2 Au 2.79
Au: 0.8750 0.3386 0.9636  2 Hf 2.77, 2 Au 2.79
Br: 0.2500 0.7500 0.5000  2 Hf 2.72
Br: 0.5000 0.5000 0.0000  2 Hf 2.72

---

This record from Alexandria via LeMat-Bulk describes a relaxed HfAu2Br crystal. The functional is GGA-PBE.

- calculated total energy (eV per cell) = -17.6
- size of the total moment (μB/cell) = 0.0
- ΔE to the lowest computed polymorph (eV per atom) = 0.2802

Cell lengths 4.8976, 4.8976, 4.8976 Å; angles 60.00, 60.00, 60.00 degrees
Last column: nearest neighbours and their distance in Å.
Positions (direct):
Hf: 0.0000 0.0000 0.0000  8 Au 3.00
Au: 0.2500 0.2500 0.2500  4 Br 3.00, 4 Hf 3.00
Au: 0.7500 0.7500 0.7500  4 Br 3.00, 4 Hf 3.00
Br: 0.5000 0.5000 0.5000  8 Au 3.00

---

This record from Alexandria via LeMat-Bulk describes a relaxed Hf2AuBr crystal. The functional is GGA-PBE.

- calculated total energy (eV per cell) = -25.5
- size of the total moment (μB/cell) = 0.0
- ΔE to the lowest computed polymorph (eV per atom) = 0.0000

Cell lengths 4.8387, 4.8387, 4.8387 Å; angles 60.00, 60.00, 60.00 degrees
Last column: nearest neighbours and their distance in Å.
Positions (direct):
Hf: 0.2500 0.2500 0.2500  4 Br 2.96, 4 Au 2.96
Hf: 0.7500 0.7500 0.7500  4 Br 2.96, 4 Au 2.96
Au: 0.0000 0.0000 0.0000  8 Hf 2.96
Br: 0.5000 0.5000 0.5000  8 Hf 2.96

---

This record from Alexandria via LeMat-Bulk describes a relaxed HfAuBr2 crystal. The functional is GGA-PBE.

- calculated total energy (eV per cell) = -16.3
- size of the total moment (μB/cell) = 0.0
- ΔE to the lowest computed polymorph (eV per atom) = 0.5229

Cell lengths 4.9173, 4.9173, 4.9173 Å; angles 60.00, 60.00, 60.00 degrees
Last column: nearest neighbours and their distance in Å.
Positions (direct):
Hf: 0.0000 0.0000 0.0000  8 Br 3.01
Au: 0.5000 0.5000 0.5000  8 Br 3.01
Br: 0.2500 0.2500 0.2500  4 Au 3.01, 4 Hf 3.01
Br: 0.7500 0.7500 0.7500  4 Au 3.01, 4 Hf 3.01

---

This record from Alexandria via LeMat-Bulk describes a relaxed Hf3AuBr crystal. The functional is GGA-PBE.

- calculated total energy (eV per cell) = -31.6
- size of the total moment (μB/cell) = 0.0
- ΔE to the lowest computed polymorph (eV per atom) = 0.0000

Cell lengths 4.8624, 4.8624, 4.8624 Å; angles 90.00, 90.00, 90.00 degrees
Last column: nearest neighbours and their distance in Å.
Positions (direct):
Hf: 0.0000 0.0000 0.5000  2 Br 2.43
Hf: 0.0000 0.5000 0.0000  2 Br 2.43
Hf: 0.5000 0.0000 0.0000  2 Br 2.43
Au: 0.5000 0.5000 0.5000  12 Hf 3.44
Br: 0.0000 0.0000 0.0000  6 Hf 2.43

---

This record from Alexandria via LeMat-Bulk describes a relaxed Hf2AuBr crystal. The functional is GGA-PBE.

- calculated total energy (eV per cell) = -47.9
- size of the total moment (μB/cell) = 0.0
- ΔE to the lowest computed polymorph (eV per atom) = 0.3955

Cell lengths 9.7121, 9.7121, 9.7121 Å; angles 152.87, 152.87, 38.75 degrees
Last column: nearest neighbours and their distance in Å.
Positions (direct):
Hf: 0.1215 0.6250 0.9965  2 Br 2.79, 2 Au 2.81
Hf: 0.3750 0.3715 0.4965  2 Br 2.79, 2 Au 2.81
Hf: 0.6285 0.1250 0.0035  2 Br 2.79, 2 Au 2.81
Hf: 0.8750 0.8785 0.5035  2 Br 2.79, 2 Au 2.81
Au: 0.2500 0.7500 0.5000  4 Hf 2.81
Au: 0.5000 0.5000 0.0000  4 Hf 2.81
Br: 0.0000 0.0000 0.0000  4 Hf 2.79
Br: 0.7500 0.2500 0.5000  4 Hf 2.79

---

This record from Alexandria via LeMat-Bulk describes a relaxed Hf2Au2Br crystal. The functional is GGA-PBE.

- calculated total energy (eV per cell) = -59.9
- size of the total moment (μB/cell) = 0.0

Cell lengths 7.3856, 7.3856, 3.8684 Å; angles 90.00, 90.00, 90.00 degrees
Last column: nearest neighbours and their distance in Å.
Positions (direct):
Hf: 0.1584 0.3416 0.0000  2 Br 2.78, 6 Au 2.88-2.92
Hf: 0.3416 0.8416 0.0000  2 Br 2.78, 6 Au 2.88-2.92
Hf: 0.6584 0.1584 0.0000  2 Br 2.78, 6 Au 2.88-2.92
Hf: 0.8416 0.6584 0.0000  2 Br 2.78, 6 Au 2.88-2.92
Au: 0.1375 0.6375 0.5000  1 Au 2.87, 6 Hf 2.88-2.92
Au: 0.3625 0.1375 0.5000  1 Au 2.87, 6 Hf 2.88-2.92
Au: 0.6375 0.8625 0.5000  1 Au 2.87, 6 Hf 2.88-2.92
Au: 0.8625 0.3625 0.5000  1 Au 2.87, 6 Hf 2.88-2.92
Br: 0.0000 0.0000 0.0000  4 Hf 2.78
Br: 0.5000 0.5000 0.0000  4 Hf 2.78

---

This record from Alexandria via LeMat-Bulk describes a relaxed HfAuBr2 crystal. The functional is GGA-PBE.

- calculated total energy (eV per cell) = -36.4
- size of the total moment (μB/cell) = 0.7
- ΔE to the lowest computed polymorph (eV per atom) = 0.0498

Cell lengths 7.3476, 7.3476, 7.3476 Å; angles 97.82, 97.82, 136.71 degrees
Last column: nearest neighbours and their distance in Å.
Positions (direct):
Hf: 0.0000 0.0000 0.0000  4 Br 2.68, 2 Au 2.71
Hf: 0.7500 0.2500 0.5000  4 Br 2.68, 2 Au 2.71
Au: 0.2500 0.7500 0.5000  2 Hf 2.71
Au: 0.5000 0.5000 0.0000  2 Hf 2.71
Br: 0.3750 0.2241 0.3491  2 Hf 2.68
Br: 0.7759 0.1250 0.1509  2 Hf 2.68
Br: 0.8750 0.0259 0.6509  2 Hf 2.68
Br: 0.9741 0.6250 0.8491  2 Hf 2.68

---

This record from Alexandria via LeMat-Bulk describes a relaxed HfAuBr crystal. The functional is GGA-PBE.

- calculated total energy (eV per cell) = -33.4
- size of the total moment (μB/cell) = 0.0

Cell lengths 5.5347, 5.5347, 10.8048 Å; angles 115.54, 115.54, 35.42 degrees
Last column: nearest neighbours and their distance in Å.
Positions (direct):
Hf: 0.1900 0.1900 0.1253  2 Br 2.70, 3 Au 2.78
Hf: 0.8100 0.8100 0.8747  2 Br 2.70, 3 Au 2.78
Au: 0.4416 0.4416 0.1018  5 Hf 2.78-3.03, 1 Au 2.97
Au: 0.5584 0.5584 0.8982  5 Hf 2.78-3.03, 1 Au 2.97
Br: 0.2051 0.2051 0.6556  2 Hf 2.70
Br: 0.7949 0.7949 0.3444  2 Hf 2.70

---

no.,D(E_F) (states/eV/f.u.)
1,2.4
2,0.0
3,0.8
4,3.2
5,2.2
6,2.4
7,2.7
8,5.0
9,3.5
10,3.7
11,3.0
12,2.2